1.
Computed, not measured: an optimized crystal structure of SiSbTe2N at the GGA-PBEsol level of DFT.

```
data_SiSbTe2N
_cell_length_a 5.710
_cell_length_b 5.710
_cell_length_c 3.880
_cell_angle_alpha 90.00
_cell_angle_beta 90.00
_cell_angle_gamma 90.00
_symmetry_space_group_name_H-M 'P 4/m m m'
_symmetry_Int_Tables_number 123
_symmetry_space_group_name_Hall '-P 4 2'
loop_
_atom_site_label
_atom_site_type_symbol
_atom_site_fract_x
_atom_site_fract_y
_atom_site_fract_z
Si1 Si 0.000 0.000 0.000
Sb1 Sb 0.500 0.500 0.500
Te1 Te 0.000 0.500 0.500
N1 N 0.500 0.500 0.000
```

Output
V = 126.52 Å³ per cell



2.
Computed, not measured: an optimized crystal structure of SiSbTe2N at the GGA-PBEsol level of DFT.

```
data_SiSbTe2N
_cell_length_a 5.240
_cell_length_b 5.240
_cell_length_c 5.127
_cell_angle_alpha 90.00
_cell_angle_beta 90.00
_cell_angle_gamma 90.00
_symmetry_space_group_name_H-M 'P 4/m m m'
_symmetry_Int_Tables_number 123
_symmetry_space_group_name_Hall '-P 4 2'
loop_
_atom_site_label
_atom_site_type_symbol
_atom_site_fract_x
_atom_site_fract_y
_atom_site_fract_z
Si1 Si 0.000 0.000 0.000
Sb1 Sb 0.000 0.000 0.500
Te1 Te 0.000 0.500 0.000
N1 N 0.500 0.500 0.500
```

Output
V = 140.79 Å³ per cell



Quick one: most stable of them? 1



1.
Computed, not measured: an optimized crystal structure of Y2SbN at the GGA-PBEsol level of DFT.

```
data_Y2SbN
_cell_length_a 6.865
_cell_length_b 6.865
_cell_length_c 7.732
_cell_angle_alpha 90.00
_cell_angle_beta 90.00
_cell_angle_gamma 90.00
_symmetry_space_group_name_H-M 'I -4 2 d'
_symmetry_Int_Tables_number 122
_symmetry_space_group_name_Hall 'I -4 2bw'
loop_
_atom_site_label
_atom_site_type_symbol
_atom_site_fract_x
_atom_site_fract_y
_atom_site_fract_z
Y1 Y 0.155 0.750 0.125
Sb1 Sb 0.000 0.000 0.500
N1 N 0.000 0.000 0.000
```

Output
V = 364.42 Å³ per cell



2.
Computed, not measured: an optimized crystal structure of Y2SbN at the GGA-PBEsol level of DFT.

```
data_Y2SbN
_cell_length_a 6.939
_cell_length_b 6.939
_cell_length_c 6.939
_cell_angle_alpha 90.00
_cell_angle_beta 90.00
_cell_angle_gamma 90.00
_symmetry_space_group_name_H-M 'F m -3 m'
_symmetry_Int_Tables_number 225
_symmetry_space_group_name_Hall '-F 4 2 3'
loop_
_atom_site_label
_atom_site_type_symbol
_atom_site_fract_x
_atom_site_fract_y
_atom_site_fract_z
Y1 Y 0.250 0.250 0.250
Sb1 Sb 0.000 0.000 0.000
N1 N 0.000 0.000 0.500
```

Output
V = 334.12 Å³ per cell



Quick one: most stable of them? 1



1.
Computed, not measured: an optimized crystal structure of ZrWSeN2 at the GGA-PBEsol level of DFT.

```
data_ZrWSeN2
_cell_length_a 3.912
_cell_length_b 3.912
_cell_length_c 4.958
_cell_angle_alpha 90.00
_cell_angle_beta 90.00
_cell_angle_gamma 90.00
_symmetry_space_group_name_H-M 'P 4/m m m'
_symmetry_Int_Tables_number 123
_symmetry_space_group_name_Hall '-P 4 2'
loop_
_atom_site_label
_atom_site_type_symbol
_atom_site_fract_x
_atom_site_fract_y
_atom_site_fract_z
Zr1 Zr 0.000 0.000 0.000
W1 W 0.500 0.500 0.500
Se1 Se 0.500 0.500 0.000
N1 N 0.000 0.500 0.500
```

Output
V = 75.89 Å³ per cell



2.
Computed, not measured: an optimized crystal structure of ZrWSeN2 at the GGA-PBEsol level of DFT.

```
data_ZrWSeN2
_cell_length_a 4.061
_cell_length_b 4.061
_cell_length_c 5.269
_cell_angle_alpha 90.00
_cell_angle_beta 90.00
_cell_angle_gamma 90.00
_symmetry_space_group_name_H-M 'P 4/m m m'
_symmetry_Int_Tables_number 123
_symmetry_space_group_name_Hall '-P 4 2'
loop_
_atom_site_label
_atom_site_type_symbol
_atom_site_fract_x
_atom_site_fract_y
_atom_site_fract_z
Zr1 Zr 0.000 0.000 0.000
W1 W 0.500 0.500 0.500
Se1 Se 0.000 0.000 0.500
N1 N 0.000 0.500 0.000
```

Output
V = 86.91 Å³ per cell



Quick one: most stable of them? 1



1.
Computed, not measured: an optimized crystal structure of ZrSn3N at the GGA-PBEsol level of DFT.

```
data_ZrSn3N
_cell_length_a 4.623
_cell_length_b 4.623
_cell_length_c 4.623
_cell_angle_alpha 90.00
_cell_angle_beta 90.00
_cell_angle_gamma 90.00
_symmetry_space_group_name_H-M 'P m -3 m'
_symmetry_Int_Tables_number 221
_symmetry_space_group_name_Hall '-P 4 2 3'
loop_
_atom_site_label
_atom_site_type_symbol
_atom_site_fract_x
_atom_site_fract_y
_atom_site_fract_z
Zr1 Zr 0.000 0.000 0.000
Sn1 Sn 0.000 0.500 0.500
N1 N 0.500 0.500 0.500
```

Output
V = 98.78 Å³ per cell



2.
Computed, not measured: an optimized crystal structure of ZrSn3N at the GGA-PBEsol level of DFT.

```
data_ZrSn3N
_cell_length_a 5.487
_cell_length_b 5.487
_cell_length_c 5.487
_cell_angle_alpha 90.00
_cell_angle_beta 90.00
_cell_angle_gamma 90.00
_symmetry_space_group_name_H-M 'P m -3 m'
_symmetry_Int_Tables_number 221
_symmetry_space_group_name_Hall '-P 4 2 3'
loop_
_atom_site_label
_atom_site_type_symbol
_atom_site_fract_x
_atom_site_fract_y
_atom_site_fract_z
Zr1 Zr 0.000 0.000 0.000
Sn1 Sn 0.000 0.000 0.500
N1 N 0.500 0.500 0.500
```

Output
V = 165.16 Å³ per cell



Quick one: most stable of them? 1



1.
Computed, not measured: an optimized crystal structure of Na at the GGA-PBEsol level of DFT.

```
data_Na
_cell_length_a 5.257
_cell_length_b 5.257
_cell_length_c 5.257
_cell_angle_alpha 90.00
_cell_angle_beta 90.00
_cell_angle_gamma 90.00
_symmetry_space_group_name_H-M 'F m -3 m'
_symmetry_Int_Tables_number 225
_symmetry_space_group_name_Hall '-F 4 2 3'
loop_
_atom_site_label
_atom_site_type_symbol
_atom_site_fract_x
_atom_site_fract_y
_atom_site_fract_z
Na1 Na 0.000 0.000 0.000
```

Output
V = 145.24 Å³ per cell



2.
Computed, not measured: an optimized crystal structure of Na at the GGA-PBEsol level of DFT.

```
data_Na
_cell_length_a 6.629
_cell_length_b 6.629
_cell_length_c 6.629
_cell_angle_alpha 90.00
_cell_angle_beta 90.00
_cell_angle_gamma 90.00
_symmetry_space_group_name_H-M 'P m -3 n'
_symmetry_Int_Tables_number 223
_symmetry_space_group_name_Hall '-P 4n 2 3'
loop_
_atom_site_label
_atom_site_type_symbol
_atom_site_fract_x
_atom_site_fract_y
_atom_site_fract_z
Na1 Na 0.000 0.000 0.000
Na2 Na 0.000 0.250 0.500
```

Output
V = 291.33 Å³ per cell



3.
Computed, not measured: an optimized crystal structure of Na at the GGA-PBEsol level of DFT.

```
data_Na
_cell_length_a 9.181
_cell_length_b 3.603
_cell_length_c 9.073
_cell_angle_alpha 90.00
_cell_angle_beta 90.00
_cell_angle_gamma 90.00
_symmetry_space_group_name_H-M 'P n m a'
_symmetry_Int_Tables_number 62
loop_
_symmetry_equiv_pos_as_xyz
'x,y,z'
'-x,-y,-z'
'-x+1/2,-y,z+1/2'
'x+1/2,y,-z+1/2'
'x+1/2,-y+1/2,-z+1/2'
'-x+1/2,y+1/2,z+1/2'
'-x,y+1/2,-z'
'x,-y+1/2,z'
loop_
_atom_site_label
_atom_site_type_symbol
_atom_site_fract_x
_atom_site_fract_y
_atom_site_fract_z
Na1 Na 0.006 0.250 0.181
Na2 Na 0.181 0.250 0.522
```

Output
V = 300.13 Å³ per cell



Quick one: most stable of them? 1



1.
Computed, not measured: an optimized crystal structure of Na at the GGA-PBEsol level of DFT.

```
data_Na
_cell_length_a 6.535
_cell_length_b 6.535
_cell_length_c 3.516
_cell_angle_alpha 90.00
_cell_angle_beta 90.00
_cell_angle_gamma 90.00
_symmetry_space_group_name_H-M 'I 41/a m d'
_symmetry_Int_Tables_number 141
loop_
_symmetry_equiv_pos_as_xyz
'x,y,z'
'-x,-y,-z'
'-y+1/4,x+3/4,z+1/4'
'y+1/4,-x+3/4,-z+1/4'
'-x+1/2,-y,z+1/2'
'x+1/2,y,-z+1/2'
'y+1/4,-x+1/4,z+3/4'
'-y+1/4,x+1/4,-z+3/4'
'x,-y,-z'
'-x,y,z'
'-y+1/4,-x+1/4,-z+3/4'
'y+1/4,x+1/4,z+3/4'
'-x+1/2,y,-z+1/2'
'x+1/2,-y,z+1/2'
'y+1/4,x+3/4,-z+1/4'
'-y+1/4,-x+3/4,z+1/4'
'x+1/2,y+1/2,z+1/2'
'-x+1/2,-y+1/2,-z+1/2'
'-y+3/4,x+1/4,z+3/4'
'y+3/4,-x+1/4,-z+3/4'
'-x,-y+1/2,z'
'x,y+1/2,-z'
'y+3/4,-x+3/4,z+1/4'
'-y+3/4,x+3/4,-z+1/4'
'x+1/2,-y+1/2,-z+1/2'
'-x+1/2,y+1/2,z+1/2'
'-y+3/4,-x+3/4,-z+1/4'
'y+3/4,x+3/4,z+1/4'
'-x,y+1/2,-z'
'x,-y+1/2,z'
'y+3/4,x+1/4,-z+3/4'
'-y+3/4,-x+1/4,z+3/4'
loop_
_atom_site_label
_atom_site_type_symbol
_atom_site_fract_x
_atom_site_fract_y
_atom_site_fract_z
Na1 Na 0.000 0.250 0.375
```

Output
V = 150.14 Å³ per cell



2.
Computed, not measured: an optimized crystal structure of Na at the GGA-PBEsol level of DFT.

```
data_Na
_cell_length_a 9.031
_cell_length_b 9.031
_cell_length_c 9.031
_cell_angle_alpha 90.00
_cell_angle_beta 90.00
_cell_angle_gamma 90.00
_symmetry_space_group_name_H-M 'P 41 3 2'
_symmetry_Int_Tables_number 213
_symmetry_space_group_name_Hall 'P 4bd 2ab 3'
loop_
_atom_site_label
_atom_site_type_symbol
_atom_site_fract_x
_atom_site_fract_y
_atom_site_fract_z
Na1 Na 0.047 0.125 0.797
Na2 Na 0.062 0.938 0.438
```

Output
V = 736.48 Å³ per cell



Quick one: most stable of them? 2